DFT (GGA+U) results for Co2I2F after structural relaxation.

## Properties
The calculation puts the total DFT energy (no corrections) at -30.638 eV/cell. As for the size of the total moment: 1.00 μB per atom. The value obtained for the calculated volume is 20.79 Å³ per atom.

a b c (Å): 7.333 7.333 3.867
angles (deg): 90.00 90.00 90.00
Positions (direct):
1 Co 0.129 0.371 0.000
2 Co 0.371 0.871 0.000
3 Co 0.629 0.129 0.000
4 Co 0.871 0.629 0.000
5 I 0.170 0.670 0.500
6 I 0.330 0.170 0.500
7 I 0.670 0.830 0.500
8 I 0.830 0.330 0.500
9 F 0.000 0.000 0.000
10 F 0.500 0.500 0.000